BaSrCa | meta-GGA SCAN | PBEsol geometry

a = 6.542 Å, b = 6.542 Å, c = 3.972 Å
α = 90.00°, β = 90.00°, γ = 120.00°
Fractional positions:
Ba 0.000 0.000 0.000
Sr 0.333 0.667 0.342
Ca 0.667 0.333 0.661

Calculated values
The offset from the most stable computed form comes out at 7 meV/atom. The symmetry is P3m1. As for the crystal system: trigonal.

BaSrCa2 | meta-GGA SCAN | PBEsol geometry

a = 4.630 Å, b = 4.630 Å, c = 8.842 Å
α = 90.00°, β = 90.00°, γ = 90.00°
Fractional positions:
Ba 0.000 0.000 0.000
Sr 0.500 0.500 0.716
Ca 0.000 0.000 0.473
Ca 0.500 0.500 0.257

Calculated values
The offset from the most stable computed form comes out at 5 meV/atom. The symmetry is P4mm. As for the crystal system: tetragonal.

BaSrCa2 | meta-GGA SCAN | PBEsol geometry

a = 4.228 Å, b = 5.308 Å, c = 8.459 Å
α = 90.00°, β = 90.00°, γ = 90.00°
Fractional positions:
Ba 0.000 0.000 0.000
Sr 0.500 0.500 0.722
Ca 0.000 0.000 0.479
Ca 0.500 0.500 0.255

Calculated values
The offset from the most stable computed form comes out at 0 meV/atom. The symmetry is Pmm2. As for the crystal system: orthorhombic.

BaCaTa | meta-GGA SCAN | PBEsol geometry

a = 5.951 Å, b = 5.951 Å, c = 5.951 Å
α = 149.48°, β = 126.89°, γ = 62.50°
Fractional positions:
Ba 0.000 0.000 0.000
Ca 0.322 0.322 0.000
Ta 0.662 0.662 0.000

Calculated values
The symmetry is Imm2. As for the crystal system: orthorhombic. The value obtained for the uncorrected energy is -37.461 eV per atom.

BaCaTa2 | meta-GGA SCAN | PBEsol geometry

a = 5.763 Å, b = 5.763 Å, c = 6.338 Å
α = 93.38°, β = 93.38°, γ = 30.57°
Fractional positions:
Ba 0.000 0.000 0.000
Ca 0.500 0.500 0.500
Ta 0.244 0.244 0.677
Ta 0.756 0.756 0.323

Calculated values
The offset from the most stable computed form comes out at 130 meV/atom. The symmetry is C2/m. As for the crystal system: monoclinic.

BaCaTa2 | meta-GGA SCAN | PBEsol geometry

a = 6.580 Å, b = 6.580 Å, c = 6.580 Å
α = 150.69°, β = 126.52°, γ = 62.15°
Fractional positions:
Ba 0.000 0.000 0.000
Ca 0.298 0.798 0.500
Ta 0.564 0.564 0.000
Ta 0.734 0.234 0.500

Calculated values
The offset from the most stable computed form comes out at 0 meV/atom. The symmetry is Imm2. As for the crystal system: orthorhombic.